Compound: Tb2Sm9Mg
Source: the Alexandria database
Functional: PBE
Structure: optimized geometry

a b c (Å): 5.060 5.060 15.285
angles (deg): 90.00 90.00 90.00
Sites, in units of the cell vectors:
Tb 0.000 0.000 0.169
Tb 0.000 0.000 0.831
Sm 0.000 0.500 0.000
Sm 0.000 0.500 0.336
Sm 0.000 0.500 0.664
Sm 0.500 0.000 0.000
Sm 0.500 0.000 0.336
Sm 0.500 0.000 0.664
Sm 0.500 0.500 0.170
Sm 0.500 0.500 0.500
Sm 0.500 0.500 0.830
Mg 0.000 0.000 0.500

Values from the calculation:
- Spin magnetization: 0.000 μB per formula unit
- Calculated total energy: -4.429 eV per atom
- Energy relative to the elements: 0.015 eV/atom
- DOS(E_F): 17.91 states/eV/cell